First-principles (PBE) data for an optimized crystal structure of LiHoZn, as listed in OQMD via LeMat-Bulk.

The space group is F-43m (No. 216) and the conventional cell measures 6.567, 6.567 and 6.567 Å, with angles of 90.00, 90.00 and 90.00 degrees. The asymmetric unit holds Li at (0.000, 0.000, 0.000), Ho at (0.000, 0.000, 0.500) and Zn at (0.250, 0.250, 0.750).

The value obtained for the energy above the most stable polymorph in this dataset is 0.000 eV per formula unit. For the raw total energy, the calculation gives -2.4895 eV/atom.

=====

First-principles (PBE) data for an optimized crystal structure of Li2Ho2Zn, as listed in OQMD via LeMat-Bulk.

The space group is P4/mbm (No. 127) and the conventional cell measures 8.879, 8.879 and 2.891 Å, with angles of 90.00, 90.00 and 90.00 degrees. The asymmetric unit holds Li at (0.097, 0.403, 0.000), Ho at (0.199, 0.699, 0.000) and Zn at (0.000, 0.000, 0.500).

For the raw total energy, the calculation gives -2.2622 eV/atom.

=====

First-principles (PBE) data for an optimized crystal structure of LiHoZr, as listed in OQMD via LeMat-Bulk.

The space group is F-43m (No. 216) and the conventional cell measures 6.908, 6.908 and 6.908 Å, with angles of 90.00, 90.00 and 90.00 degrees. The asymmetric unit holds Li at (0.000, 0.000, 0.000), Ho at (0.000, 0.000, 0.500) and Zr at (0.250, 0.250, 0.750).

The value obtained for the energy above the most stable polymorph in this dataset is 0.000 eV per formula unit. For the raw total energy, the calculation gives -3.9073 eV/atom.

=====

First-principles (PBE) data for an optimized crystal structure of Ho2Lu, as listed in OQMD via LeMat-Bulk.

The space group is Fd-3m (No. 227, origin choice 2) and the conventional cell measures 9.111, 9.111 and 9.111 Å, with angles of 90.00, 90.00 and 90.00 degrees. The asymmetric unit holds Ho at (0.000, 0.000, 0.000) and Lu at (0.125, 0.125, 0.625).

The formation energy is 25 kJ per mole of atoms. The value obtained for the energy above the most stable polymorph in this dataset is 0.000 eV per formula unit. For the raw total energy, the calculation gives -4.3022 eV/atom.

=====

First-principles (PBE) data for an optimized crystal structure of Ho2Lu, as listed in OQMD via LeMat-Bulk.

The space group is Fd-3m (No. 227, origin choice 2) and the conventional cell measures 14.161, 14.161 and 14.161 Å, with angles of 90.00, 90.00 and 90.00 degrees. The asymmetric unit holds Ho at (0.000, 0.000, 0.000) and Lu at (0.125, 0.125, 0.125).

The formation energy is 248 kJ per mole of atoms. The value obtained for the energy above the most stable polymorph in this dataset is 6.953 eV per formula unit. For the raw total energy, the calculation gives -1.9845 eV/atom.

=====

First-principles (PBE) data for an optimized crystal structure of HoLu, as listed in OQMD via LeMat-Bulk.

The space group is P-6m2 (No. 187) and the conventional cell measures 3.5468, 3.5468 and 5.5098 Å, with angles of 90.00, 90.00 and 120.00 degrees. The asymmetric unit holds Ho at (0.0000, 0.0000, 0.0000) and Lu at (0.6667, 0.3333, 0.5000).

The formation energy is 4 kJ per mole of atoms. The value obtained for the energy above the most stable polymorph in this dataset is 0.072 eV per formula unit. For the raw total energy, the calculation gives -4.5137 eV/atom.

=====

First-principles (PBE) data for an optimized crystal structure of HoLu, as listed in OQMD via LeMat-Bulk.

The space group is Ama2 (No. 40) and the conventional cell measures 5.504, 12.291 and 7.098 Å, with angles of 90.00, 90.00 and 90.00 degrees. The asymmetric unit holds Ho at (0.250, 0.083, 0.000), Ho at (0.250, 0.333, 0.750), Lu at (0.250, 0.083, 0.501) and Lu at (0.250, 0.334, 0.251).

The formation energy is 0 kJ per mole of atoms. The value obtained for the energy above the most stable polymorph in this dataset is 0.000 eV per formula unit. For the raw total energy, the calculation gives -4.5496 eV/atom.

=====

First-principles (PBE) data for an optimized crystal structure of HoLu2, as listed in OQMD via LeMat-Bulk.

The space group is Fd-3m (No. 227, origin choice 2) and the conventional cell measures 14.270, 14.270 and 14.270 Å, with angles of 90.00, 90.00 and 90.00 degrees. The asymmetric unit holds Ho at (0.125, 0.125, 0.125) and Lu at (0.000, 0.000, 0.000).

The formation energy is 245 kJ per mole of atoms. The value obtained for the energy above the most stable polymorph in this dataset is 6.741 eV per formula unit. For the raw total energy, the calculation gives -2.0052 eV/atom.

=====

no.,calculated density (Mg/m³)
1,5.56
2,5.96
3,5.30
4,8.87
5,2.36
6,9.40
7,9.40
8,2.35